This record from the Alexandria database describes a relaxed La2ZnCd crystal. The functional is PBE.

Cell and atoms, written as extended XYZ:
```
4
Lattice="3.498 0.000 0.000 0.000 3.498 0.000 0.000 0.000 9.129" Properties=species:S:1:pos:R:3 pbc="T T T"
La 0.000 0.000 0.000
La 1.749 1.749 3.047
Zn 0.000 0.000 5.137
Cd 1.749 1.749 6.734
```

- E above lowest polymorph: 210 meV per atom
- Calculated total energy: -12.5 eV per cell